A plane-wave DFT calculation with GGA-PBE was carried out for LaZrSe2 after structural relaxation.

Cell and atoms, written as POSCAR:
```
LaZrSe2
1.0
1.901 1.098 9.203
-1.901 1.098 9.203
0.000 -2.195 9.203
La Zr Se
1 1 2
Direct
0.000 0.000 0.000 La
0.500 0.500 0.500 Zr
0.107 0.107 0.107 Se
0.893 0.893 0.893 Se
```

E_form (uncorrected), eV per atom: -1.1020
Symmetry: R-3m, No. 166
N(E_F), states/eV per cell: 3.4
VASP energy, eV per atom: -6.213
Volume, Å³/atom: 28.810
Energy above the most stable polymorph in this dataset, eV per atom: 0.411